w:
Compound: CrIr2Cl
Source: Alexandria
Functional: PBE
Structure: optimized geometry

Computed properties:
V   14.9 Å³/atom

Unit cell a=4.666 b=4.666 c=2.838 alpha=90.00 beta=90.00 gamma=105.37
Last column: magnetic moment on the atom in μB.
Atoms (fractional coordinates):
Cl1 0.500 0.000 0.500  0.05
Ir1 0.000 0.000 0.000  -0.07
Ir2 0.500 0.500 0.000  -0.07
Cr1 0.000 0.500 0.500  2.86

x:
Compound: CrIr2Cl
Source: Alexandria
Functional: PBE
Structure: optimized geometry

Computed properties:
V   15.2 Å³/atom

Unit cell a=2.787 b=4.669 c=6.613 alpha=44.98 beta=90.00 gamma=90.00
Last column: magnetic moment on the atom in μB.
Atoms (fractional coordinates):
Ir1 0.500 0.500 0.000  -0.14
Ir2 0.000 0.000 0.000  -0.05
Cl1 0.500 0.500 0.500  -0.01
Cr1 0.000 0.000 0.500  3.17

Least stable: w

w:
Compound: CrIr2Cl
Source: Alexandria
Functional: PBE
Structure: optimized geometry

Computed properties:
V   18.1 Å³/atom

Unit cell a=5.763 b=3.544 c=3.544 alpha=90.00 beta=90.00 gamma=90.00
Last column: magnetic moment on the atom in μB.
Atoms (fractional coordinates):
Cr1 0.500 0.000 0.500  3.71
Cl1 0.500 0.500 0.000  -0.01
Ir1 0.000 0.000 0.000  -0.03
Ir2 0.000 0.500 0.500  -0.03

x:
Compound: CrIr2Cl
Source: Alexandria
Functional: PBE
Structure: optimized geometry

Computed properties:
V   14.4 Å³/atom

Unit cell a=5.237 b=5.237 c=5.237 alpha=148.81 beta=128.48 gamma=61.46
Last column: magnetic moment on the atom in μB.
Atoms (fractional coordinates):
Ir1 0.738 0.238 0.500  -0.16
Ir2 0.021 0.021 0.000  -0.12
Cr1 0.266 0.766 0.500  1.88
Cl1 0.475 0.475 0.000  -0.02

Least stable: w

w:
Compound: CrIr2Cl
Source: Alexandria
Functional: PBE
Structure: optimized geometry

Computed properties:
V   14.9 Å³/atom

Unit cell a=4.676 b=4.676 c=4.676 alpha=129.44 beta=129.44 gamma=74.30
Last column: magnetic moment on the atom in μB.
Atoms (fractional coordinates):
Ir1 0.500 0.500 0.000  -0.36
Ir2 0.000 0.000 0.000  -0.36
Cr1 0.750 0.250 0.500  2.53
Cl1 0.250 0.750 0.500  -0.04

x:
Compound: CrIr2Cl
Source: Alexandria
Functional: PBE
Structure: optimized geometry

Computed properties:
V   18.3 Å³/atom

Unit cell a=2.872 b=3.636 c=6.997 alpha=90.00 beta=90.00 gamma=90.00
Last column: magnetic moment on the atom in μB.
Atoms (fractional coordinates):
Cr1 0.500 0.500 0.774  3.36
Ir1 0.500 0.500 0.156  -0.01
Ir2 0.000 0.000 0.006  -0.14
Cl1 0.000 0.000 0.564  0.01

Least stable: w

w:
Compound: CrIr2Cl
Source: Alexandria
Functional: PBE
Structure: optimized geometry

Computed properties:
V   15.6 Å³/atom

Unit cell a=9.548 b=9.548 c=9.548 alpha=16.65 beta=16.65 gamma=16.65
Atoms (fractional coordinates):
Cr1 0.250 0.250 0.250
Ir1 0.737 0.737 0.737
Ir2 0.989 0.989 0.989
Cl1 0.524 0.524 0.524

x:
Compound: CrIr2Cl
Source: Alexandria
Functional: PBE
Structure: optimized geometry

Computed properties:
V   16.0 Å³/atom

Unit cell a=6.120 b=6.120 c=4.154 alpha=70.41 beta=70.41 gamma=26.07
Last column: magnetic moment on the atom in μB.
Atoms (fractional coordinates):
Cl1 0.750 0.750 0.750  -0.02
Cr1 0.250 0.250 0.250  2.93
Ir1 0.538 0.538 0.462  -0.20
Ir2 0.962 0.962 0.038  -0.20

Least stable: x

w:
Compound: Cr2IrCl2
Source: Alexandria
Functional: PBE
Structure: optimized geometry

Computed properties:
V   14.5 Å³/atom

Unit cell a=4.033 b=4.033 c=5.296 alpha=67.62 beta=67.62 gamma=90.00
Atoms (fractional coordinates):
Cr1 0.750 0.250 0.500
Cr2 0.250 0.750 0.500
Cl1 0.643 0.643 0.713
Cl2 0.357 0.357 0.287
Ir1 0.000 0.000 0.000

x:
Compound: Cr2IrCl2
Source: Alexandria
Functional: PBE
Structure: optimized geometry

Computed properties:
V   16.6 Å³/atom

Unit cell a=7.431 b=7.431 c=3.011 alpha=90.00 beta=90.00 gamma=90.00
Last column: magnetic moment on the atom in μB.
Atoms (fractional coordinates):
Cr1 0.190 0.690 0.500  3.63
Cr2 0.690 0.810 0.500  3.65
Cr3 0.310 0.190 0.500  3.65
Cr4 0.810 0.310 0.500  3.63
Cl1 0.132 0.368 0.000  -0.03
Cl2 0.632 0.132 0.000  -0.04
Cl3 0.868 0.632 0.000  -0.03
Cl4 0.368 0.868 0.000  -0.04
Ir1 0.000 0.000 0.000  -0.89
Ir2 0.500 0.500 0.000  -0.87

Least stable: w

w:
Compound: Cr3IrCl
Source: Alexandria
Functional: PBE
Structure: optimized geometry

Computed properties:
V   22.7 Å³/atom

Unit cell a=4.840 b=4.840 c=4.840 alpha=90.00 beta=90.00 gamma=90.00
Last column: magnetic moment on the atom in μB.
Atoms (fractional coordinates):
Cr1 0.500 0.000 0.000  3.75
Cr2 0.000 0.500 0.000  3.42
Cr3 0.000 0.000 0.500  3.11
Cl1 0.500 0.500 0.500  0.11
Ir1 0.000 0.000 0.000  -0.43

x:
Compound: Cr3IrCl
Source: Alexandria
Functional: PBE
Structure: optimized geometry

Computed properties:
V   13.7 Å³/atom

Unit cell a=4.090 b=4.090 c=4.090 alpha=90.00 beta=90.00 gamma=90.00
Last column: magnetic moment on the atom in μB.
Atoms (fractional coordinates):
Ir1 0.500 0.500 0.500  0.12
Cr1 0.000 0.000 0.500  0.43
Cr2 0.500 0.000 0.000  0.19
Cr3 0.000 0.500 0.000  0.32
Cl1 0.000 0.000 0.000  0.00

Least stable: w